Entry 1:
La3TlIr after structural relaxation. Source: Alexandria via LeMat-Bulk, functional PBE-GGA.

Cell lengths 5.606, 5.606, 5.606 Å; angles 90.00, 90.00, 90.00 degrees
Space group Pm-3m (No. 221)
One atom of each set of equivalent atoms:
La  0.000  0.000  0.500 (multiplicity 3)
Tl  0.500  0.500  0.500 (multiplicity 1)
Ir  0.000  0.000  0.000 (multiplicity 1)

Properties
E_tot: -28.143 eV per cell
Energy above the lowest structure with this stoichiometry: 11.0 kJ per mole of atoms
Energy relative to the elements: -41 kJ per mole of atoms
DOS at the Fermi energy: 9.60 states/eV/f.u.



Entry 2:
LaTlIr2 after structural relaxation. Source: Alexandria via LeMat-Bulk, functional PBE-GGA.

Cell lengths 3.0762, 3.0762, 30.0181 Å; angles 90.00, 90.00, 120.00 degrees
Space group R3m (No. 160, hexagonal axes)
One atom of each set of equivalent atoms:
La  0.0000  0.0000  0.0000 (multiplicity 3)
Tl  0.0000  0.0000  0.2319 (multiplicity 3)
Ir  0.0000  0.0000  0.4876 (multiplicity 3)
Ir  0.0000  0.0000  0.7539 (multiplicity 3)

Properties
E_tot: -69.436 eV per cell
Energy above the lowest structure with this stoichiometry: 65.4 kJ per mole of atoms
Energy relative to the elements: 45 kJ per mole of atoms
DOS at the Fermi energy: 3.34 states/eV/f.u.



Entry 3:
La3TlIr after structural relaxation. Source: Alexandria via LeMat-Bulk, functional PBE-GGA.

Cell lengths 4.960, 8.726, 7.310 Å; angles 90.00, 90.00, 90.00 degrees
Space group Pmn2_1 (No. 31)
One atom of each set of equivalent atoms:
La  0.000  0.073  0.000 (multiplicity 2)
La  0.000  0.654  0.748 (multiplicity 2)
La  0.000  0.655  0.251 (multiplicity 2)
Tl  0.000  0.171  0.499 (multiplicity 2)
Ir  0.000  0.397  0.000 (multiplicity 2)

Properties
E_tot: -57.151 eV per cell
Energy above the lowest structure with this stoichiometry: 2.6 kJ per mole of atoms
Energy relative to the elements: -50 kJ per mole of atoms
DOS at the Fermi energy: 5.24 states/eV/f.u.



Entry 4:
La6TlIr2 after structural relaxation. Source: Alexandria via LeMat-Bulk, functional PBE-GGA.

Cell lengths 10.809, 5.210, 9.541 Å; angles 90.00, 101.85, 90.00 degrees
Space group C2/m (No. 12)
One atom of each set of equivalent atoms:
La  0.033  0.000  0.353 (multiplicity 4)
La  0.167  0.500  0.885 (multiplicity 4)
La  0.203  0.500  0.337 (multiplicity 4)
Tl  0.000  0.000  0.000 (multiplicity 2)
Ir  0.123  0.500  0.597 (multiplicity 4)

Properties
E_tot: -108.034 eV per cell
Energy above the lowest structure with this stoichiometry: 0.0 kJ per mole of atoms
Energy relative to the elements: -47 kJ per mole of atoms
DOS at the Fermi energy: 7.29 states/eV/f.u.



Entry 5:
LaTlIr after structural relaxation. Source: Alexandria via LeMat-Bulk, functional PBE-GGA.

Cell lengths 7.052, 7.052, 7.052 Å; angles 90.00, 90.00, 90.00 degrees
Space group F-43m (No. 216)
One atom of each set of equivalent atoms:
La  0.000  0.000  0.000 (multiplicity 4)
Tl  0.250  0.250  0.250 (multiplicity 4)
Ir  0.250  0.250  0.750 (multiplicity 4)

Properties
E_tot: -61.263 eV per cell
Energy relative to the elements: 27 kJ per mole of atoms
DOS at the Fermi energy: 2.19 states/eV/f.u.



Entry 6:
La3Tl2Ir after structural relaxation. Source: Alexandria via LeMat-Bulk, functional PBE-GGA.

Cell lengths 5.493, 7.803, 9.021 Å; angles 89.85, 72.30, 89.65 degrees
Space group P-1 (No. 2)
One atom of each set of equivalent atoms:
La  0.006  0.238  0.001 (multiplicity 2)
La  0.354  0.000  0.292 (multiplicity 2)
La  0.387  0.500  0.226 (multiplicity 2)
Tl  0.195  0.717  0.608 (multiplicity 2)
Tl  0.197  0.282  0.608 (multiplicity 2)
Ir  0.493  0.801  0.000 (multiplicity 2)

Properties
E_tot: -63.007 eV per cell
Energy above the lowest structure with this stoichiometry: 0.0 kJ per mole of atoms
Energy relative to the elements: -50 kJ per mole of atoms
DOS at the Fermi energy: 6.03 states/eV/f.u.



Entry 7:
LaTlIr2 after structural relaxation. Source: Alexandria via LeMat-Bulk, functional PBE-GGA.

Cell lengths 3.542, 3.542, 7.306 Å; angles 90.00, 90.00, 90.00 degrees
Space group P4mm (No. 99)
One atom of each set of equivalent atoms:
La  0.000  0.000  0.000 (multiplicity 1)
Tl  0.500  0.500  0.351 (multiplicity 1)
Ir  0.000  0.000  0.626 (multiplicity 1)
Ir  0.500  0.500  0.739 (multiplicity 1)

Properties
E_tot: -25.013 eV per cell
Energy above the lowest structure with this stoichiometry: 20.4 kJ per mole of atoms
Energy relative to the elements: 0 kJ per mole of atoms
DOS at the Fermi energy: 4.77 states/eV/f.u.



Entry 8:
La2TlIr after structural relaxation. Source: Alexandria via LeMat-Bulk, functional PBE-GGA.

Cell lengths 4.1976, 4.1976, 24.8784 Å; angles 90.00, 90.00, 120.00 degrees
Space group R3m (No. 160, hexagonal axes)
One atom of each set of equivalent atoms:
La  0.0000  0.0000  0.0000 (multiplicity 3)
La  0.0000  0.0000  0.2069 (multiplicity 3)
Tl  0.0000  0.0000  0.4368 (multiplicity 3)
Ir  0.0000  0.0000  0.6030 (multiplicity 3)

Properties
E_tot: -70.032 eV per cell
Energy above the lowest structure with this stoichiometry: 3.9 kJ per mole of atoms
Energy relative to the elements: -55 kJ per mole of atoms
DOS at the Fermi energy: 2.02 states/eV/f.u.



Entry 9:
LaTlIr2 after structural relaxation. Source: Alexandria via LeMat-Bulk, functional PBE-GGA.

Cell lengths 4.276, 4.232, 10.138 Å; angles 90.00, 90.00, 90.00 degrees
Space group Amm2 (No. 38)
One atom of each set of equivalent atoms:
La  0.000  0.000  0.000 (multiplicity 2)
Tl  0.500  0.000  0.701 (multiplicity 2)
Ir  0.000  0.000  0.287 (multiplicity 2)
Ir  0.500  0.000  0.419 (multiplicity 2)

Properties
E_tot: -51.714 eV per cell
Energy above the lowest structure with this stoichiometry: 0.0 kJ per mole of atoms
Energy relative to the elements: -20 kJ per mole of atoms
DOS at the Fermi energy: 3.13 states/eV/f.u.



Entry 10:
La3TlIr after structural relaxation. Source: Alexandria via LeMat-Bulk, functional PBE-GGA.

Cell lengths 6.964, 14.521, 6.072 Å; angles 90.00, 90.00, 90.00 degrees
Space group Cmcm (No. 63)
One atom of each set of equivalent atoms:
La  0.000  0.000  0.000 (multiplicity 4)
La  0.249  0.317  0.250 (multiplicity 8)
Tl  0.000  0.439  0.750 (multiplicity 4)
Ir  0.000  0.177  0.250 (multiplicity 4)

Properties
E_tot: -108.758 eV per cell
Energy above the lowest structure with this stoichiometry: 29.4 kJ per mole of atoms
Energy relative to the elements: -23 kJ per mole of atoms
DOS at the Fermi energy: 4.89 states/eV/f.u.



Entry 11:
La5TlIr after structural relaxation. Source: Alexandria via LeMat-Bulk, functional PBE-GGA.

Cell lengths 5.090, 5.090, 8.429 Å; angles 90.00, 90.00, 90.00 degrees
Space group P4/mmm (No. 123)
One atom of each set of equivalent atoms:
La  0.000  0.000  0.000 (multiplicity 1)
La  0.000  0.500  0.301 (multiplicity 4)
Tl  0.500  0.500  0.000 (multiplicity 1)
Ir  0.000  0.000  0.500 (multiplicity 1)

Properties
E_tot: -38.321 eV per cell
Energy above the lowest structure with this stoichiometry: 0.0 kJ per mole of atoms
Energy relative to the elements: -34 kJ per mole of atoms
DOS at the Fermi energy: 8.66 states/eV/f.u.



Entry 12:
La2TlIr after structural relaxation. Source: Alexandria via LeMat-Bulk, functional PBE-GGA.

Cell lengths 3.592, 3.592, 8.606 Å; angles 90.00, 90.00, 90.00 degrees
Space group P4/mmm (No. 123)
One atom of each set of equivalent atoms:
La  0.000  0.000  0.201 (multiplicity 2)
Tl  0.500  0.500  0.500 (multiplicity 1)
Ir  0.500  0.500  0.000 (multiplicity 1)

Properties
E_tot: -23.245 eV per cell
Energy above the lowest structure with this stoichiometry: 6.3 kJ per mole of atoms
Energy relative to the elements: -52 kJ per mole of atoms
DOS at the Fermi energy: 2.82 states/eV/f.u.



Entry 13:
LaTlIr after structural relaxation. Source: Alexandria via LeMat-Bulk, functional PBE-GGA.

Cell lengths 7.843, 4.179, 13.295 Å; angles 90.00, 91.34, 90.00 degrees
Space group P2_1/m (No. 11)
One atom of each set of equivalent atoms:
La  0.045  0.250  0.126 (multiplicity 2)
La  0.166  0.250  0.422 (multiplicity 2)
La  0.442  0.750  0.789 (multiplicity 2)
Tl  0.109  0.250  0.702 (multiplicity 2)
Tl  0.354  0.750  0.043 (multiplicity 2)
Tl  0.500  0.250  0.590 (multiplicity 2)
Ir  0.241  0.250  0.909 (multiplicity 2)
Ir  0.246  0.750  0.582 (multiplicity 2)
Ir  0.252  0.750  0.249 (multiplicity 2)

Properties
E_tot: -105.455 eV per cell
Energy relative to the elements: -46 kJ per mole of atoms
DOS at the Fermi energy: 1.93 states/eV/f.u.



Entry 14:
La5Tl2Ir2 after structural relaxation. Source: Alexandria via LeMat-Bulk, functional PBE-GGA.

Cell lengths 16.584, 7.491, 8.687 Å; angles 90.00, 90.00, 90.00 degrees
Space group Cmce (No. 64)
One atom of each set of equivalent atoms:
La  0.000  0.000  0.000 (multiplicity 4)
La  0.117  0.157  0.325 (multiplicity 16)
Tl  0.216  0.000  0.000 (multiplicity 8)
Ir  0.000  0.138  0.624 (multiplicity 8)

Properties
E_tot: -208.255 eV per cell
Energy relative to the elements: -53 kJ per mole of atoms
DOS at the Fermi energy: 7.16 states/eV/f.u.



Entry 15:
La12Tl6Ir after structural relaxation. Source: Alexandria via LeMat-Bulk, functional PBE-GGA.

Cell lengths 12.7910, 12.7910, 13.9856 Å; angles 90.00, 90.00, 120.00 degrees
Space group R-3 (No. 148, hexagonal axes)
One atom of each set of equivalent atoms:
La  0.0380  0.8445  0.3882 (multiplicity 18)
La  0.0438  0.1931  0.8746 (multiplicity 18)
Tl  0.0076  0.6035  0.2605 (multiplicity 18)
Ir  0.0000  0.0000  0.0000 (multiplicity 3)

Properties
E_tot: -262.472 eV per cell
Energy relative to the elements: -27 kJ per mole of atoms
DOS at the Fermi energy: 23.74 states/eV/f.u.



Entry 16:
La19Tl4Ir6 after structural relaxation. Source: Alexandria via LeMat-Bulk, functional PBE-GGA.

Cell lengths 12.415, 12.415, 12.415 Å; angles 90.00, 90.00, 90.00 degrees
Space group I23 (No. 197)
One atom of each set of equivalent atoms:
La  0.000  0.000  0.000 (multiplicity 2)
La  0.000  0.000  0.300 (multiplicity 12)
La  0.052  0.284  0.670 (multiplicity 24)
Tl  0.170  0.170  0.170 (multiplicity 8)
Ir  0.000  0.123  0.500 (multiplicity 12)

Properties
E_tot: -336.477 eV per cell
Energy relative to the elements: -40 kJ per mole of atoms
DOS at the Fermi energy: 33.23 states/eV/f.u.



Entry 17:
La2TlIr after structural relaxation. Source: Alexandria via LeMat-Bulk, functional PBE-GGA.

Cell lengths 4.113, 15.176, 7.523 Å; angles 90.00, 90.00, 90.00 degrees
Space group Cmcm (No. 63)
One atom of each set of equivalent atoms:
La  0.000  0.144  0.003 (multiplicity 8)
Tl  0.000  0.499  0.250 (multiplicity 4)
Ir  0.000  0.303  0.750 (multiplicity 4)

Properties
E_tot: -94.026 eV per cell
Energy above the lowest structure with this stoichiometry: 0.0 kJ per mole of atoms
Energy relative to the elements: -58 kJ per mole of atoms
DOS at the Fermi energy: 3.38 states/eV/f.u.



Entry 18:
La3TlIr after structural relaxation. Source: Alexandria via LeMat-Bulk, functional PBE-GGA.

Cell lengths 4.093, 9.492, 8.218 Å; angles 90.00, 90.00, 90.00 degrees
Space group Pmmn (No. 59, origin choice 2)
One atom of each set of equivalent atoms:
La  0.250  0.043  0.190 (multiplicity 4)
La  0.250  0.750  0.499 (multiplicity 2)
Tl  0.250  0.250  0.847 (multiplicity 2)
Ir  0.250  0.750  0.858 (multiplicity 2)

Properties
E_tot: -56.158 eV per cell
Energy above the lowest structure with this stoichiometry: 12.2 kJ per mole of atoms
Energy relative to the elements: -40 kJ per mole of atoms
DOS at the Fermi energy: 5.86 states/eV/f.u.



Entry 19:
LaTlIr2 after structural relaxation. Source: Alexandria via LeMat-Bulk, functional PBE-GGA.

Cell lengths 4.576, 4.576, 3.895 Å; angles 90.00, 90.00, 90.00 degrees
Space group P4/mmm (No. 123)
One atom of each set of equivalent atoms:
La  0.000  0.000  0.000 (multiplicity 1)
Tl  0.500  0.500  0.000 (multiplicity 1)
Ir  0.000  0.500  0.500 (multiplicity 2)

Properties
E_tot: -25.507 eV per cell
Energy above the lowest structure with this stoichiometry: 8.5 kJ per mole of atoms
Energy relative to the elements: -12 kJ per mole of atoms
DOS at the Fermi energy: 1.28 states/eV/f.u.



Entry 20:
LaTlIr after structural relaxation. Source: Alexandria via LeMat-Bulk, functional PBE-GGA.

Cell lengths 4.7427, 4.7427, 3.8865 Å; angles 90.00, 90.00, 120.00 degrees
Space group P3m1 (No. 156)
One atom of each set of equivalent atoms:
La  0.0000  0.0000  0.0000 (multiplicity 1)
Tl  0.6667  0.3333  0.5006 (multiplicity 1)
Ir  0.3333  0.6667  0.5041 (multiplicity 1)

Properties
E_tot: -16.950 eV per cell
Energy relative to the elements: -26 kJ per mole of atoms
DOS at the Fermi energy: 3.12 states/eV/f.u.